Entry from Alexandria: a relaxed structure of Tb12Nd5Hg2 (PBE).

* energy relative to the elements: 0.005 eV per atom

Cell: 15.5353 9.3834 8.3348 Å, 90.00 92.68 90.00°
With the nearest neighbours (Å) after each atom.
Space group C2/m (No. 12)
Inequivalent atoms, fractional coordinates:
Tb 0.0523 0.0000 0.3145  2 Hg 3.23, 7 Tb 3.31-3.59, 2 Nd 3.37-3.45
Tb 0.0791 0.5000 0.8821  5 Tb 3.22-3.53, 2 Hg 3.35, 3 Nd 3.36-3.59
Tb 0.1252 0.1930 0.6666  5 Tb 3.31-3.62, 3 Nd 3.45-3.55, 1 Hg 3.47
Tb 0.1456 0.3169 0.2363  1 Hg 3.17, 3 Tb 3.38-3.53
Nd 0.0000 0.5000 0.5000  10 Tb 3.36-3.71, 2 Nd 3.69
Nd 0.1947 0.0000 0.0087  8 Tb 3.45-3.71, 2 Hg 3.50, 1 Nd 3.55
Nd 0.2354 0.5000 0.5800  8 Tb 3.37-3.58, 2 Nd 3.55-3.69
Hg 0.0000 0.1873 0.0000  8 Tb 3.17-3.47, 2 Nd 3.50, 1 Hg 3.52



Entry from Alexandria: a relaxed structure of MnRe (PBE).

* energy relative to the elements: 0.071 eV per atom

Cell: 2.6129 4.2783 4.8986 Å, 90.00 98.87 90.00°
With the nearest neighbours (Å) after each atom.
Space group P2_1/m (No. 11)
Inequivalent atoms, fractional coordinates:
Mn 0.0907 0.2500 0.3736  5 Re 2.55-2.84, 4 Mn 2.55-2.61
Re 0.3871 0.7500 0.1428  5 Mn 2.55-2.84, 4 Re 2.61-2.67



Entry from Alexandria: a relaxed structure of VNi2Pt4 (PBE).

* relative energy among the computed polymorphs: 0.000 eV per atom
* energy relative to the elements: -0.180 eV per atom

Cell: 5.4192 5.4192 7.1652 Å, 90.00 90.00 90.00°
With the nearest neighbours (Å) after each atom.
Space group I4/mmm (No. 139)
Inequivalent atoms, fractional coordinates:
V 0.0000 0.0000 0.0000  8 Pt 2.62, 4 Ni 2.71
Ni 0.0000 0.5000 0.0000  8 Pt 2.62, 2 V 2.71
Pt 0.2500 0.2500 0.2500  4 Ni 2.62, 2 V 2.62, 4 Pt 2.71



Entry from Alexandria: a relaxed structure of Tb6PmY2Mg (PBE).

* energy relative to the elements: 0.111 eV per atom

Cell: 10.0521 19.3665 6.6571 Å, 90.00 99.71 90.00°
With the nearest neighbours (Å) after each atom.
Space group C2/c (No. 15)
Inequivalent atoms, fractional coordinates:
Tb 0.0649 0.1449 0.0362  2 Pm 3.24-3.43, 1 Mg 3.32, 5 Tb 3.33-3.47, 1 Y 3.49
Tb 0.1114 0.4126 0.9750  1 Mg 3.26, 3 Tb 3.42-3.56, 4 Y 3.46-3.64
Tb 0.1749 0.2578 0.7182  6 Tb 3.36-3.61, 2 Mg 3.38-3.39, 1 Y 3.53
Pm 0.0000 0.0098 0.7500  4 Tb 3.24-3.43, 2 Pm 3.35, 4 Y 3.42-3.62
Y 0.2356 0.4170 0.4921  2 Pm 3.42-3.62, 8 Tb 3.46-3.83, 1 Mg 3.56
Mg 0.0000 0.2933 0.2500  8 Tb 3.26-3.39, 2 Y 3.56



Entry from Alexandria: a relaxed structure of Mn2CdAu3 (PBE).

* energy relative to the elements: -0.079 eV per atom

Cell: 3.2573 3.2573 9.9356 Å, 90.00 90.00 90.00°
With the nearest neighbours (Å) after each atom.
Space group P4/mmm (No. 123)
Inequivalent atoms, fractional coordinates:
Mn 0.0000 0.0000 0.1597  8 Au 2.75-2.80
Cd 0.0000 0.0000 0.5000  8 Au 2.97, 4 Cd 3.26
Au 0.5000 0.5000 0.0000  8 Mn 2.80, 2 Au 3.10
Au 0.5000 0.5000 0.3118  4 Mn 2.75, 4 Cd 2.97



Entry from Alexandria: a relaxed structure of BeTlO2F (PBE).

* formation energy without anion corrections: 0.102 eV/f.u.

Cell: 4.2428 4.2428 4.3462 Å, 90.00 90.00 90.00°
With the nearest neighbours (Å) after each atom.
Space group P4/mmm (No. 123)
Inequivalent atoms, fractional coordinates:
Be 0.0000 0.0000 0.0000  4 F 3.00, 8 O 3.04
Tl 0.5000 0.5000 0.5000  4 O 2.12, 2 F 2.17
O 0.0000 0.5000 0.5000  2 Tl 2.12
F 0.5000 0.5000 0.0000  2 Tl 2.17



Entry from Alexandria: a relaxed structure of Tm2Sc2Pt3 (PBE).

* energy relative to the elements: -1.127 eV per atom

Cell: 4.6814 4.6841 8.2890 Å, 73.61 89.97 60.14°
With the nearest neighbours (Å) after each atom.
Space group P-1 (No. 2)
Inequivalent atoms, fractional coordinates:
Tm 0.1247 0.2515 0.3735  5 Pt 2.89-3.01
Sc 0.3742 0.7522 0.1219  7 Pt 2.86-2.87
Pt 0.0000 0.5000 0.0000  6 Sc 2.87, 2 Tm 2.93
Pt 0.2518 0.9950 0.7574  4 Sc 2.86-2.87, 4 Tm 2.89-3.01



Entry from Alexandria: a relaxed structure of Nd3Ho8Tm2 (PBE).

* relative energy among the computed polymorphs: 0.000 eV per atom
* energy relative to the elements: 0.238 eV per atom

Cell: 14.6000 9.1117 6.9385 Å, 90.00 108.97 90.00°
With the nearest neighbours (Å) after each atom.
Space group C2/m (No. 12)
Inequivalent atoms, fractional coordinates:
Nd 0.0000 0.0000 0.0000  6 Ho 3.11-3.42
Nd 0.0000 0.1766 0.5000  1 Nd 3.22, 4 Ho 3.39-3.50
Ho 0.0851 0.5000 0.7323  6 Ho 3.37-3.63, 2 Nd 3.39, 1 Tm 3.44
Ho 0.1197 0.3196 0.1791  5 Ho 3.29-3.63, 2 Nd 3.42-3.50, 2 Tm 3.43-3.44
Ho 0.1927 0.0000 0.8987  1 Nd 3.11, 3 Ho 3.38-3.42, 1 Tm 3.41
Tm 0.2145 0.0000 0.4243  7 Ho 3.41-3.56, 3 Nd 3.53-3.71



Number 1: spin magnetization 0.00 μB per formula unit, DOS(E_F) 54.94 states/eV per cell. Number 2: spin magnetization 2.04 μB per formula unit, DOS(E_F) 2.86 states/eV per cell. Number 3: spin magnetization 0.00 μB per formula unit, DOS(E_F) 14.04 states/eV per cell. Number 4: spin magnetization 0.01 μB per formula unit, DOS(E_F) 64.26 states/eV per cell. Number 5: spin magnetization 8.13 μB per formula unit, DOS(E_F) 2.60 states/eV per cell. Number 6: spin magnetization 0.00 μB per formula unit, DOS(E_F) 1.22 states/eV per cell. Number 7: spin magnetization 0.00 μB per formula unit, DOS(E_F) 4.61 states/eV per cell. Number 8: spin magnetization 0.00 μB per formula unit, DOS(E_F) 31.36 states/eV per cell.